# Tb12PrSm7 | the Alexandria database | PBE-GGA | relaxed
data_Tb12PrSm7
_space_group_name_H-M_alt 'I m -3 m'
_space_group_IT_number 229
_space_group_name_Hall '-I 4 2 3'
_cell_length_a 11.352
_cell_length_b 11.352
_cell_length_c 11.352
_cell_angle_alpha 90.00
_cell_angle_beta 90.00
_cell_angle_gamma 90.00
loop_
_atom_site_label
_atom_site_type_symbol
_atom_site_fract_x
_atom_site_fract_y
_atom_site_fract_z
Tb1 Tb 0.000 0.252 0.252
Pr1 Pr 0.000 0.000 0.000
Sm1 Sm 0.000 0.000 0.500
Sm2 Sm 0.250 0.250 0.250
# - size of the total moment (Bohr magnetons per cell) = 0.00
# - E above lowest polymorph (kJ/mol of atoms) = 34.32
# - D(E_F) (states/eV/f.u.) = 25.85